# Zr3PdW PBE relaxed
# formation enthalpy at 0 K = 1044 meV per atom
# excess energy over the best structure of this formula in the dataset = 17.5 kJ per mole of atoms
# calculated volume = 121.90 Å³/f.u.
data_Zr3PdW
_cell_length_a 4.958
_cell_length_b 4.958
_cell_length_c 4.958
_cell_angle_alpha 90.00
_cell_angle_beta 90.00
_cell_angle_gamma 90.00
_space_group_name_H-M_alt 'P m -3 m'
_space_group_IT_number 221
_space_group_name_Hall '-P 4 2 3'
loop_
_atom_site_label
_atom_site_type_symbol
_atom_site_fract_x
_atom_site_fract_y
_atom_site_fract_z
Zr1 Zr 0.000 0.000 0.500
Pd1 Pd 0.000 0.000 0.000
W1 W 0.500 0.500 0.500

***

# Mo2PtCl PBE relaxed
# uncorrected formation energy = 0.435 eV/atom
# excess energy over the best structure of this formula in the dataset = 37.2 kJ per mole of atoms
# calculated volume = 62.15 Å³/f.u.
data_Mo2PtCl
_cell_length_a 6.288
_cell_length_b 6.288
_cell_length_c 6.288
_cell_angle_alpha 90.00
_cell_angle_beta 90.00
_cell_angle_gamma 90.00
_space_group_name_H-M_alt 'F m -3 m'
_space_group_IT_number 225
_space_group_name_Hall '-F 4 2 3'
loop_
_atom_site_label
_atom_site_type_symbol
_atom_site_fract_x
_atom_site_fract_y
_atom_site_fract_z
Mo1 Mo 0.250 0.250 0.250
Pt1 Pt 0.000 0.000 0.000
Cl1 Cl 0.000 0.000 0.500